VASP calculation (PBE) on a geometry-optimized Rb3Hg4Bi4 structure.

Cell lengths 5.3770, 5.5682, 28.9880 Å; angles 90.00, 90.00, 90.00 degrees
Closest atoms and distances in Å follow each position.
Space group Immm (No. 71)
One atom of each set of equivalent atoms:
1 Rb 0.0000 0.0000 0.0000 [2 per cell]  4 Hg 3.95, 8 Bi 4.16
2 Rb 0.0000 0.5000 0.3478 [4 per cell]  8 Hg 3.84-4.19, 6 Bi 4.01-4.10
3 Hg 0.0000 0.0000 0.2469 [4 per cell]  4 Bi 3.11
4 Hg 0.0000 0.5000 0.0964 [4 per cell]  3 Bi 2.97
5 Bi 0.0000 0.0000 0.4471 [4 per cell]  2 Hg 2.97, 1 Bi 3.07
6 Bi 0.0000 0.5000 0.1990 [4 per cell]  5 Hg 2.97-3.11

Values from the calculation:
The calculation puts the formation energy at -209 meV/atom. For the spin magnetization, the calculation gives 0.000 μB/f.u. Its total energy is -43.9 eV for the cell shown.


VASP calculation (PBE) on a geometry-optimized Rb2HgBi structure.

Cell lengths 6.5475, 6.5475, 3.9666 Å; angles 90.00, 90.00, 90.00 degrees
Closest atoms and distances in Å follow each position.
Space group P4/mmm (No. 123)
One atom of each set of equivalent atoms:
1 Rb 0.0000 0.5000 0.0000 [2 per cell]  4 Bi 3.83, 4 Hg 3.83, 2 Rb 3.97
2 Hg 0.0000 0.0000 0.5000 [1 per cell]  8 Rb 3.83, 2 Hg 3.97
3 Bi 0.5000 0.5000 0.5000 [1 per cell]  8 Rb 3.83, 2 Bi 3.97

Values from the calculation:
The calculation puts the formation energy at -227 meV/atom. For the spin magnetization, the calculation gives 0.000 μB/f.u. The offset from the most stable computed form is 0.029 eV per atom. Its total energy is -7.0 eV for the cell shown.